Record 1
NdTmTlNi | PBE | optimized geometry

Cell lengths 5.171, 5.171, 5.171 Å; angles 60.00, 60.00, 60.00 degrees
Element x y z (fractional)
1 Ni 0.250 0.250 0.250
2 Tm 0.500 0.500 0.500
3 Nd 0.000 0.000 0.000
4 Tl 0.750 0.750 0.750

## Properties
* ρ: 9785 kg/m3
* total magnetization: 0.000 μB per formula unit
* space group: No. 216
* final energy: -4.555 eV/atom
* energy of formation from the pure elements: -0.21 eV per atom
* DOS at the Fermi energy: 4.5 states/eV per cell

***

Record 2
CeCd3In2 | PBE | optimized geometry

Cell lengths 6.035, 6.035, 4.917 Å; angles 90.00, 90.00, 120.00 degrees
Each line ends with the local moment (μB).
Element x y z (fractional)
1 In 0.333 0.667 0.000  0.02
2 In 0.667 0.333 0.000  0.02
3 Cd 0.000 0.500 0.500  0.00
4 Cd 0.500 0.000 0.500  0.00
5 Cd 0.500 0.500 0.500  0.00
6 Ce 0.000 0.000 0.000  1.10

## Properties
* ρ: 7570 kg/m3
* total magnetization: 1.384 μB per formula unit
* space group: No. 191
* final energy: -2.425 eV/atom
* energy of formation from the pure elements: -0.07 eV per atom
* DOS at the Fermi energy: 10.1 states/eV per cell

***

Record 3
TmMg2Cu9 | PBE | optimized geometry

Cell lengths 5.017, 5.017, 8.544 Å; angles 72.93, 72.93, 60.00 degrees
Element x y z (fractional)
1 Cu 0.414 0.918 0.253
2 Cu 0.667 0.667 0.000
3 Cu 0.500 0.500 0.500
4 Cu 0.586 0.082 0.747
5 Cu 0.333 0.333 0.000
6 Cu 0.414 0.414 0.253
7 Cu 0.586 0.586 0.747
8 Cu 0.918 0.414 0.253
9 Cu 0.082 0.586 0.747
10 Mg 0.145 0.145 0.566
11 Mg 0.855 0.855 0.434
12 Tm 0.000 0.000 0.000

## Properties
* ρ: 7481 kg/m3
* total magnetization: 0.000 μB per formula unit
* space group: No. 166
* final energy: -3.880 eV/atom
* energy of formation from the pure elements: -0.17 eV per atom
* DOS at the Fermi energy: 8.3 states/eV per cell

***

Record 4
YNi2P | PBE | optimized geometry

Cell lengths 4.618, 4.618, 4.618 Å; angles 127.94, 127.94, 76.72 degrees
Element x y z (fractional)
1 Ni 0.750 0.250 0.500
2 Ni 0.250 0.750 0.500
3 P 0.500 0.500 0.000
4 Y 0.000 0.000 0.000

## Properties
* ρ: 6625 kg/m3
* total magnetization: 0.000 μB per formula unit
* space group: No. 139
* final energy: -6.234 eV/atom
* energy of formation from the pure elements: -0.37 eV per atom
* DOS at the Fermi energy: 2.3 states/eV per cell

***

Record 5
ZrReP | PBE | optimized geometry

Cell lengths 3.122, 3.201, 10.033 Å; angles 90.00, 90.00, 90.00 degrees
Element x y z (fractional)
1 Re 0.000 0.500 0.865
2 Re 0.000 0.000 0.365
3 P 0.500 0.500 0.464
4 P 0.500 0.000 0.964
5 Zr 0.500 0.000 0.669
6 Zr 0.500 0.500 0.169

## Properties
* ρ: 10215 kg/m3
* total magnetization: 0.000 μB per formula unit
* space group: No. 38
* final energy: -9.419 eV/atom
* energy of formation from the pure elements: -0.62 eV per atom
* DOS at the Fermi energy: 1.5 states/eV per cell

***

Record 6
FeAs2Cl | PBE | optimized geometry

Cell lengths 6.022, 3.640, 3.640 Å; angles 90.00, 90.00, 90.00 degrees
Each line ends with the local moment (μB).
Element x y z (fractional)
1 As 0.000 0.000 0.000  0.03
2 As 0.000 0.500 0.500  0.03
3 Cl 0.500 0.500 0.000  0.07
4 Fe 0.500 0.000 0.500  3.20

## Properties
* energy relative to the elements, uncorrected: 0.42 eV/atom
* ρ: 5020 kg/m3
* total magnetization: 3.497 μB per formula unit
* space group: No. 123
* final energy: -4.485 eV/atom
* DOS at the Fermi energy: 5.2 states/eV per cell